This record from Alexandria describes Ca2ScZn2 after structural relaxation. The functional is PBE-GGA.

a = 7.3000 Å, b = 7.3000 Å, c = 4.8634 Å
α = 90.00°, β = 90.00°, γ = 90.00°
With the nearest neighbours (Å) after each atom.
Space group P4/mbm (No. 127)
Symmetry-distinct sites (fractional):
1 Ca 0.1762 0.3238 0.0000 [4 per cell]  6 Zn 3.19-3.29
2 Sc 0.0000 0.0000 0.5000 [2 per cell]  4 Zn 2.89
3 Zn 0.1236 0.6236 0.5000 [4 per cell]  1 Zn 2.55

Computed properties:
density	3.280	g/cm³
volume	259.2	Å³ per cell
offset from the most stable computed form	0	meV per atom
formation energy	-0.130	eV per atom
total magnetization	0.000	μB per atom
total energy	-2.706	eV per atom